Computed, not measured: crystalline MgTaMoO6 at its relaxed geometry at the PBE with a Hubbard U level of DFT. Values from VASP.

Geometry as Quantum ESPRESSO input:
```
&SYSTEM
  ibrav = 0, nat = 18, ntyp = 4
/
ATOMIC_SPECIES
Mg 24.30 Mg.upf
Ta 180.95 Ta.upf
Mo 95.94 Mo.upf
O 16.00 O.upf
CELL_PARAMETERS angstrom
4.723 0.000 0.000
0.000 4.723 0.000
0.000 0.000 9.397
ATOMIC_POSITIONS angstrom
Mg 0.000 0.000 0.000
Mg 2.361 2.361 4.699
Ta 0.000 0.000 3.187
Ta 2.361 2.361 7.885
Mo 0.000 0.000 6.283
Mo 2.361 2.361 1.584
O 0.906 0.906 4.685
O 0.961 0.961 7.777
O 0.984 0.984 1.660
O 1.377 3.346 6.358
O 1.400 3.323 3.079
O 1.456 3.267 9.384
O 3.267 1.456 9.384
O 3.323 1.400 3.079
O 3.346 1.377 6.358
O 3.739 3.739 1.660
O 3.762 3.762 7.777
O 3.817 3.817 4.685
```

* energy: -143.376 eV for the cell shown
* symmetry: P4_2nm
* Fermi-level density of states: 0.00 states/eV per atom